# TbYTlPt (PBE-GGA, relaxed)
# **DFT formation energy**: -0.70 eV/atom
data_TbYTlPt
_chemical_formula_sum 'Tb4 Y4 Tl4 Pt4'
_symmetry_space_group_name_H-M 'F -4 3 m'
_symmetry_Int_Tables_number 216
_symmetry_space_group_name_Hall 'F -4 2 3'
_cell_length_a 7.305
_cell_length_b 7.305
_cell_length_c 7.305
_cell_angle_alpha 90.00
_cell_angle_beta 90.00
_cell_angle_gamma 90.00
loop_
_atom_site_label
_atom_site_fract_x
_atom_site_fract_y
_atom_site_fract_z
Tb1 0.000 0.000 0.000
Y1 0.000 0.000 0.500
Tl1 0.250 0.250 0.750
Pt1 0.250 0.250 0.250

***

# Tb3TmPt3 (PBE-GGA, relaxed)
# **DFT formation energy**: -1.02 eV/atom
data_Tb3TmPt3
_chemical_formula_sum 'Tb12 Tm4 Pt12'
_symmetry_space_group_name_H-M 'C 1 2/m 1'
_symmetry_Int_Tables_number 12
_cell_length_a 9.183
_cell_length_b 10.461
_cell_length_c 7.108
_cell_angle_alpha 90.00
_cell_angle_beta 91.40
_cell_angle_gamma 90.00
loop_
_symmetry_equiv_pos_as_xyz
'x,y,z'
'-x,-y,-z'
'-x,y,-z'
'x,-y,z'
'x+1/2,y+1/2,z'
'-x+1/2,-y+1/2,-z'
'-x+1/2,y+1/2,-z'
'x+1/2,-y+1/2,z'
loop_
_atom_site_label
_atom_site_fract_x
_atom_site_fract_y
_atom_site_fract_z
Tb1 0.000 0.176 0.000
Tb2 0.000 0.250 0.500
Tb3 0.164 0.500 0.878
Tm1 0.243 0.500 0.383
Pt1 0.060 0.000 0.308
Pt2 0.241 0.264 0.217

***

# Tb2TmPt2 (PBE-GGA, relaxed)
# **DFT formation energy**: -1.08 eV/atom
data_Tb2TmPt2
_chemical_formula_sum 'Tb4 Tm2 Pt4'
_symmetry_space_group_name_H-M 'P 4/m b m'
_symmetry_Int_Tables_number 127
_symmetry_space_group_name_Hall '-P 4 2ab'
_cell_length_a 7.684
_cell_length_b 7.684
_cell_length_c 4.022
_cell_angle_alpha 90.00
_cell_angle_beta 90.00
_cell_angle_gamma 90.00
loop_
_atom_site_label
_atom_site_fract_x
_atom_site_fract_y
_atom_site_fract_z
Tb1 0.162 0.338 0.000
Tm1 0.000 0.000 0.500
Pt1 0.140 0.640 0.500